## one
# Al2CuTc2 (PBE, relaxed)
data_Al2CuTc2
_chemical_formula_sum 'Al4 Cu2 Tc4'
_symmetry_space_group_name_H-M 'P 1'
_symmetry_Int_Tables_number 1
_symmetry_space_group_name_Hall 'P 1'
_cell_length_a 6.667
_cell_length_b 6.667
_cell_length_c 3.406
_cell_angle_alpha 90.00
_cell_angle_beta 90.00
_cell_angle_gamma 90.00
loop_
_atom_site_label
_atom_site_type_symbol
_atom_site_fract_x
_atom_site_fract_y
_atom_site_fract_z
_atom_site_occupancy
Cu1 Cu 0.500 0.500 0.000 1
Cu2 Cu 0.000 0.000 0.000 1
Al1 Al 0.333 0.167 0.500 1
Al2 Al 0.167 0.667 0.500 1
Al3 Al 0.833 0.333 0.500 1
Al4 Al 0.667 0.833 0.500 1
Tc1 Tc 0.133 0.367 0.000 1
Tc2 Tc 0.367 0.867 0.000 1
Tc3 Tc 0.633 0.133 0.000 1
Tc4 Tc 0.867 0.633 0.000 1
# * space group: P4/mbm (127)
# * mass density: 6.9 g cm⁻³
# * crystal system: tetragonal
# * spin magnetization: 0.00 μB per cell


## two
# Al2CuTc2 (PBE, relaxed)
data_Al2CuTc2
_chemical_formula_sum 'Al4 Cu2 Tc4'
_symmetry_space_group_name_H-M 'P 1'
_symmetry_Int_Tables_number 1
_symmetry_space_group_name_Hall 'P 1'
_cell_length_a 6.457
_cell_length_b 6.457
_cell_length_c 3.409
_cell_angle_alpha 90.00
_cell_angle_beta 90.00
_cell_angle_gamma 90.00
loop_
_atom_site_label
_atom_site_type_symbol
_atom_site_fract_x
_atom_site_fract_y
_atom_site_fract_z
_atom_site_occupancy
Al1 Al 0.364 0.864 0.000 1
Al2 Al 0.136 0.364 0.000 1
Al3 Al 0.636 0.136 0.000 1
Al4 Al 0.864 0.636 0.000 1
Cu1 Cu 0.500 0.500 0.000 1
Cu2 Cu 0.000 0.000 0.000 1
Tc1 Tc 0.833 0.333 0.500 1
Tc2 Tc 0.333 0.167 0.500 1
Tc3 Tc 0.167 0.667 0.500 1
Tc4 Tc 0.667 0.833 0.500 1
# * space group: P4/mbm (127)
# * mass density: 7.3 g cm⁻³
# * crystal system: tetragonal
# * spin magnetization: 0.00 μB per cell


Most stable: two. Least stable: one.


## one
# Al4CuTc (PBE, relaxed)
data_Al4CuTc
_chemical_formula_sum 'Al8 Cu2 Tc2'
_symmetry_space_group_name_H-M 'P 1'
_symmetry_Int_Tables_number 1
_symmetry_space_group_name_Hall 'P 1'
_cell_length_a 5.881
_cell_length_b 5.881
_cell_length_c 5.923
_cell_angle_alpha 90.00
_cell_angle_beta 90.01
_cell_angle_gamma 90.00
loop_
_atom_site_label
_atom_site_type_symbol
_atom_site_fract_x
_atom_site_fract_y
_atom_site_fract_z
_atom_site_occupancy
Al1 Al 0.750 0.750 0.749 1
Al2 Al 0.750 0.750 0.251 1
Al3 Al 0.750 0.250 0.749 1
Al4 Al 0.250 0.750 0.251 1
Al5 Al 0.250 0.250 0.749 1
Al6 Al 0.750 0.250 0.251 1
Al7 Al 0.250 0.250 0.251 1
Al8 Al 0.250 0.750 0.749 1
Cu1 Cu 0.000 0.000 0.000 1
Cu2 Cu 0.500 0.500 0.000 1
Tc1 Tc 0.000 0.500 0.500 1
Tc2 Tc 0.500 0.000 0.500 1
# * space group: P4/mmm (123)
# * mass density: 4.4 g cm⁻³
# * crystal system: tetragonal
# * spin magnetization: 0.00 μB per cell


## two
# Al4CuTc (PBE, relaxed)
data_Al4CuTc
_chemical_formula_sum 'Al4 Cu1 Tc1'
_symmetry_space_group_name_H-M 'P 1'
_symmetry_Int_Tables_number 1
_symmetry_space_group_name_Hall 'P 1'
_cell_length_a 5.010
_cell_length_b 5.010
_cell_length_c 5.010
_cell_angle_alpha 60.00
_cell_angle_beta 60.00
_cell_angle_gamma 60.00
loop_
_atom_site_label
_atom_site_type_symbol
_atom_site_fract_x
_atom_site_fract_y
_atom_site_fract_z
_atom_site_occupancy
Al1 Al 0.375 0.375 0.874 1
Al2 Al 0.874 0.375 0.375 1
Al3 Al 0.375 0.375 0.375 1
Al4 Al 0.375 0.874 0.375 1
Cu1 Cu 0.750 0.750 0.750 1
Tc1 Tc 0.000 0.000 0.000 1
# * space group: F-43m (216)
# * mass density: 5.0 g cm⁻³
# * crystal system: cubic
# * spin magnetization: 0.00 μB per cell


Most stable: one. Least stable: two.


## one
# AlCuTc3 (PBE, relaxed)
data_AlCuTc3
_chemical_formula_sum 'Al1 Cu1 Tc3'
_symmetry_space_group_name_H-M 'P 1'
_symmetry_Int_Tables_number 1
_symmetry_space_group_name_Hall 'P 1'
_cell_length_a 4.441
_cell_length_b 4.441
_cell_length_c 4.441
_cell_angle_alpha 90.00
_cell_angle_beta 90.00
_cell_angle_gamma 90.00
loop_
_atom_site_label
_atom_site_type_symbol
_atom_site_fract_x
_atom_site_fract_y
_atom_site_fract_z
_atom_site_occupancy
Tc1 Tc 0.000 0.500 0.000 1
Tc2 Tc 0.000 0.000 0.500 1
Tc3 Tc 0.500 0.000 0.000 1
Al1 Al 0.500 0.500 0.500 1
Cu1 Cu 0.000 0.000 0.000 1
# * space group: Pm-3m (221)
# * mass density: 7.3 g cm⁻³
# * crystal system: cubic
# * spin magnetization: 0.00 μB per cell


## two
# AlCuTc3 (PBE, relaxed)
data_AlCuTc3
_chemical_formula_sum 'Al1 Cu1 Tc3'
_symmetry_space_group_name_H-M 'P 1'
_symmetry_Int_Tables_number 1
_symmetry_space_group_name_Hall 'P 1'
_cell_length_a 4.423
_cell_length_b 4.423
_cell_length_c 4.423
_cell_angle_alpha 90.00
_cell_angle_beta 90.00
_cell_angle_gamma 90.00
loop_
_atom_site_label
_atom_site_type_symbol
_atom_site_fract_x
_atom_site_fract_y
_atom_site_fract_z
_atom_site_occupancy
Tc1 Tc 0.000 0.000 0.500 1
Tc2 Tc 0.000 0.500 0.000 1
Tc3 Tc 0.500 0.000 0.000 1
Cu1 Cu 0.500 0.500 0.500 1
Al1 Al 0.000 0.000 0.000 1
# * space group: Pm-3m (221)
# * mass density: 7.4 g cm⁻³
# * crystal system: cubic
# * spin magnetization: 0.00 μB per cell


Most stable: one. Least stable: two.


## one
# Al3CuTc (PBE, relaxed)
data_Al3CuTc
_chemical_formula_sum 'Al12 Cu4 Tc4'
_symmetry_space_group_name_H-M 'P 1'
_symmetry_Int_Tables_number 1
_symmetry_space_group_name_Hall 'P 1'
_cell_length_a 4.350
_cell_length_b 8.832
_cell_length_c 8.832
_cell_angle_alpha 74.48
_cell_angle_beta 75.74
_cell_angle_gamma 75.74
loop_
_atom_site_label
_atom_site_type_symbol
_atom_site_fract_x
_atom_site_fract_y
_atom_site_fract_z
_atom_site_occupancy
Al1 Al 0.147 0.405 0.802 1
Al2 Al 0.364 0.783 0.990 1
Al3 Al 0.429 0.414 0.228 1
Al4 Al 0.353 0.198 0.595 1
Al5 Al 0.071 0.772 0.586 1
Al6 Al 0.853 0.595 0.198 1
Al7 Al 0.136 0.010 0.217 1
Al8 Al 0.636 0.217 0.010 1
Al9 Al 0.864 0.990 0.783 1
Al10 Al 0.647 0.802 0.405 1
Al11 Al 0.571 0.586 0.772 1
Al12 Al 0.929 0.228 0.414 1
Cu1 Cu 0.750 0.309 0.691 1
Cu2 Cu 0.750 0.899 0.101 1
Cu3 Cu 0.250 0.691 0.309 1
Cu4 Cu 0.250 0.101 0.899 1
Tc1 Tc 0.468 0.891 0.673 1
Tc2 Tc 0.032 0.327 0.109 1
Tc3 Tc 0.968 0.673 0.891 1
Tc4 Tc 0.532 0.109 0.327 1
# * space group: Imma (74)
# * mass density: 5.2 g cm⁻³
# * crystal system: orthorhombic
# * spin magnetization: 0.00 μB per cell


## two
# Al3CuTc (PBE, relaxed)
data_Al3CuTc
_chemical_formula_sum 'Al3 Cu1 Tc1'
_symmetry_space_group_name_H-M 'P 1'
_symmetry_Int_Tables_number 1
_symmetry_space_group_name_Hall 'P 1'
_cell_length_a 4.696
_cell_length_b 4.696
_cell_length_c 4.696
_cell_angle_alpha 90.00
_cell_angle_beta 90.00
_cell_angle_gamma 90.00
loop_
_atom_site_label
_atom_site_type_symbol
_atom_site_fract_x
_atom_site_fract_y
_atom_site_fract_z
_atom_site_occupancy
Cu1 Cu 0.500 0.500 0.500 1
Al1 Al 0.000 0.500 0.000 1
Al2 Al 0.500 0.000 0.000 1
Al3 Al 0.000 0.000 0.500 1
Tc1 Tc 0.000 0.000 0.000 1
# * space group: Pm-3m (221)
# * mass density: 3.9 g cm⁻³
# * crystal system: cubic
# * spin magnetization: 0.00 μB per cell


Most stable: one. Least stable: two.


## one
# TiAlCuTc (PBE, relaxed)
data_TiAlCuTc
_chemical_formula_sum 'Ti1 Al1 Cu1 Tc1'
_symmetry_space_group_name_H-M 'P 1'
_symmetry_Int_Tables_number 1
_symmetry_space_group_name_Hall 'P 1'
_cell_length_a 4.319
_cell_length_b 4.319
_cell_length_c 4.319
_cell_angle_alpha 60.00
_cell_angle_beta 60.00
_cell_angle_gamma 60.00
loop_
_atom_site_label
_atom_site_type_symbol
_atom_site_fract_x
_atom_site_fract_y
_atom_site_fract_z
_atom_site_occupancy
Tc1 Tc 0.250 0.250 0.250 1
Cu1 Cu 0.750 0.750 0.750 1
Al1 Al 0.000 0.000 0.000 1
Ti1 Ti 0.500 0.500 0.500 1
# * space group: F-43m (216)
# * mass density: 6.9 g cm⁻³
# * crystal system: cubic
# * spin magnetization: 0.00 μB per cell


## two
# TiAlCuTc (PBE, relaxed)
data_TiAlCuTc
_chemical_formula_sum 'Ti1 Al1 Cu1 Tc1'
_symmetry_space_group_name_H-M 'P 1'
_symmetry_Int_Tables_number 1
_symmetry_space_group_name_Hall 'P 1'
_cell_length_a 3.274
_cell_length_b 4.285
_cell_length_c 4.040
_cell_angle_alpha 90.00
_cell_angle_beta 90.00
_cell_angle_gamma 90.00
loop_
_atom_site_label
_atom_site_type_symbol
_atom_site_fract_x
_atom_site_fract_y
_atom_site_fract_z
_atom_site_occupancy
Ti1 Ti 0.000 0.000 0.000 1
Tc1 Tc 0.500 0.000 0.500 1
Al1 Al 0.000 0.500 0.500 1
Cu1 Cu 0.500 0.500 0.000 1
# * space group: Pmmm (47)
# * mass density: 6.9 g cm⁻³
# * crystal system: orthorhombic
# * spin magnetization: 0.00 μB per cell


Most stable: two. Least stable: one.


## one
# Al2Cu2Te (PBE, relaxed)
data_Al2Cu2Te
_chemical_formula_sum 'Al2 Cu2 Te1'
_symmetry_space_group_name_H-M 'P 1'
_symmetry_Int_Tables_number 1
_symmetry_space_group_name_Hall 'P 1'
_cell_length_a 3.919
_cell_length_b 3.919
_cell_length_c 6.318
_cell_angle_alpha 71.93
_cell_angle_beta 71.93
_cell_angle_gamma 90.00
loop_
_atom_site_label
_atom_site_type_symbol
_atom_site_fract_x
_atom_site_fract_y
_atom_site_fract_z
_atom_site_occupancy
Te1 Te 0.000 0.000 0.000 1
Al1 Al 0.250 0.750 0.500 1
Al2 Al 0.750 0.250 0.500 1
Cu1 Cu 0.610 0.610 0.780 1
Cu2 Cu 0.390 0.390 0.220 1
# * space group: I4/mmm (139)
# * mass density: 5.9 g cm⁻³
# * crystal system: tetragonal
# * spin magnetization: 0.00 μB per cell


## two
# Al2Cu2Te (PBE, relaxed)
data_Al2Cu2Te
_chemical_formula_sum 'Al4 Cu4 Te2'
_symmetry_space_group_name_H-M 'P 1'
_symmetry_Int_Tables_number 1
_symmetry_space_group_name_Hall 'P 1'
_cell_length_a 7.827
_cell_length_b 7.827
_cell_length_c 2.833
_cell_angle_alpha 90.00
_cell_angle_beta 90.00
_cell_angle_gamma 90.00
loop_
_atom_site_label
_atom_site_type_symbol
_atom_site_fract_x
_atom_site_fract_y
_atom_site_fract_z
_atom_site_occupancy
Al1 Al 0.872 0.628 0.000 1
Al2 Al 0.628 0.128 0.000 1
Al3 Al 0.372 0.872 0.000 1
Al4 Al 0.128 0.372 0.000 1
Te1 Te 0.500 0.500 0.000 1
Te2 Te 0.000 0.000 0.000 1
Cu1 Cu 0.334 0.166 0.500 1
Cu2 Cu 0.834 0.334 0.500 1
Cu3 Cu 0.666 0.834 0.500 1
Cu4 Cu 0.166 0.666 0.500 1
# * space group: P4/mbm (127)
# * mass density: 5.9 g cm⁻³
# * crystal system: tetragonal
# * spin magnetization: 0.00 μB per cell


Most stable: one. Least stable: two.